No. 1
The following is a DFT calculation (GGA-PBE) of a relaxed RuSeBr2N crystal.

Summary:
The density is 6.16 g cm⁻³. Its energy relative to the elements, uncorrected is 727 kJ/mol of formula units. The calculation puts the raw total energy at -3.380 eV per atom. The value obtained for the spin magnetization is 3.427 μB per cell. The symmetry is P4/mmm. The energy above the most stable polymorph in this dataset comes out at 0.00 kcal/mol of atoms.

Lattice parameters (Å, degrees): 4.4755 4.4755 4.7608 90.00 90.00 90.00
With the nearest neighbours (Å) after each atom.
Fractional positions:
1 Ru 0.0000 0.0000 0.0000  4 Se 3.16, 8 Br 3.27
2 Se 0.5000 0.5000 0.0000  2 N 2.38
3 Br 0.0000 0.5000 0.5000  2 N 2.24
4 Br 0.5000 0.0000 0.5000  2 N 2.24
5 N 0.5000 0.5000 0.5000  4 Br 2.24, 2 Se 2.38

***

No. 2
The following is a DFT calculation (GGA-PBE) of a relaxed Sm6Ru2Br3N crystal.

Summary:
The density is 7.25 g cm⁻³. Its energy relative to the elements, uncorrected is -1116 kJ/mol of formula units. The calculation puts the raw total energy at -5.981 eV per atom. The value obtained for the spin magnetization is 0.000 μB per cell. The symmetry is C2/m.

Lattice parameters (Å, degrees): 6.8547 6.8547 7.9678 98.24 98.24 119.93
With the nearest neighbours (Å) after each atom.
Fractional positions:
1 Sm 0.0604 0.3704 0.1858  1 N 2.55, 2 Ru 2.74-2.77
2 Sm 0.2535 0.2535 0.8141  1 N 2.59, 2 Ru 2.76
3 Sm 0.3704 0.0604 0.1858  1 N 2.55, 2 Ru 2.74-2.77
4 Sm 0.6296 0.9396 0.8142  1 N 2.55, 2 Ru 2.74-2.77
5 Sm 0.7465 0.7465 0.1859  1 N 2.59, 2 Ru 2.76
6 Sm 0.9396 0.6296 0.8142  1 N 2.55, 2 Ru 2.74-2.77
7 Ru 0.3319 0.6681 0.0000  6 Sm 2.74-2.77
8 Ru 0.6681 0.3319 0.0000  6 Sm 2.74-2.77
9 Br 0.1654 0.8346 0.5000  6 Sm 3.25-3.44
10 Br 0.5000 0.5000 0.5000  6 Sm 3.27-3.40
11 Br 0.8346 0.1654 0.5000  6 Sm 3.25-3.44
12 N 0.0000 0.0000 0.0000  6 Sm 2.55-2.59

***

No. 3
The following is a DFT calculation (GGA-PBE) of a relaxed Sr2RuBrN crystal.

Summary:
The density is 5.26 g cm⁻³. Its energy relative to the elements, uncorrected is -401 kJ/mol of formula units. The calculation puts the raw total energy at -5.358 eV per atom. The value obtained for the spin magnetization is 0.000 μB per cell. The symmetry is P4/mmm.

Lattice parameters (Å, degrees): 5.5385 5.5385 3.8129 90.00 90.00 90.00
With the nearest neighbours (Å) after each atom.
Fractional positions:
1 Sr 0.0000 0.5000 0.0000  2 N 2.77
2 Sr 0.5000 0.0000 0.0000  2 N 2.77
3 Ru 0.0000 0.0000 0.5000  2 N 1.91
4 Br 0.5000 0.5000 0.5000  8 Sr 3.36
5 N 0.0000 0.0000 0.0000  2 Ru 1.91

***

No. 4
The following is a DFT calculation (GGA-PBE) of a relaxed TaRuBrN2 crystal.

Summary:
The density is 9.02 g cm⁻³. Its energy relative to the elements, uncorrected is 1147 kJ/mol of formula units. The calculation puts the raw total energy at -5.512 eV per atom. The value obtained for the spin magnetization is 0.000 μB per cell. The symmetry is P4/mmm.

Lattice parameters (Å, degrees): 3.9086 3.9086 4.6986 90.00 90.00 90.00
With the nearest neighbours (Å) after each atom.
Fractional positions:
1 Ta 0.0000 0.0000 0.0000  4 Ru 2.76, 8 N 3.06
2 Ru 0.5000 0.5000 0.0000  2 Br 2.35
3 Br 0.5000 0.5000 0.5000  4 N 1.95
4 N 0.0000 0.5000 0.5000  2 Br 1.95
5 N 0.5000 0.0000 0.5000  2 Br 1.95

***

No. 5
The following is a DFT calculation (GGA-PBE) of a relaxed TeRuBrN2 crystal.

Summary:
The density is 6.33 g cm⁻³. Its energy relative to the elements, uncorrected is 415 kJ/mol of formula units. The calculation puts the raw total energy at -5.287 eV per atom. The value obtained for the spin magnetization is 0.317 μB per cell. The symmetry is P4/mmm. The energy above the most stable polymorph in this dataset comes out at 0.00 kcal/mol of atoms.

Lattice parameters (Å, degrees): 3.9206 3.9206 5.7472 90.00 90.00 90.00
With the nearest neighbours (Å) after each atom.
Fractional positions:
1 Te 0.0000 0.0000 0.0000  4 Br 2.77, 2 Ru 2.87
2 Ru 0.0000 0.0000 0.5000  4 N 1.96
3 Br 0.5000 0.5000 0.0000  4 Te 2.77
4 N 0.0000 0.5000 0.5000  2 Ru 1.96
5 N 0.5000 0.0000 0.5000  2 Ru 1.96

***

No. 6
The following is a DFT calculation (GGA-PBE) of a relaxed TeRuBrN2 crystal.

Summary:
The density is 5.15 g cm⁻³. Its energy relative to the elements, uncorrected is 1131 kJ/mol of formula units. The calculation puts the raw total energy at -3.804 eV per atom. The value obtained for the spin magnetization is 1.692 μB per cell. The symmetry is P4/mmm. The energy above the most stable polymorph in this dataset comes out at 34.20 kcal/mol of atoms.

Lattice parameters (Å, degrees): 3.8058 3.8058 7.4921 90.00 90.00 90.00
With the nearest neighbours (Å) after each atom.
Fractional positions:
1 Te 0.0000 0.0000 0.0000  4 Ru 2.69
2 Ru 0.5000 0.5000 0.0000  4 Te 2.69
3 Br 0.0000 0.0000 0.5000  4 N 1.90
4 N 0.0000 0.5000 0.5000  2 Br 1.90
5 N 0.5000 0.0000 0.5000  2 Br 1.90

***

No. 7
The following is a DFT calculation (GGA-PBE) of a relaxed TlRuBrN2 crystal.

Summary:
The density is 7.56 g cm⁻³. Its energy relative to the elements, uncorrected is 337 kJ/mol of formula units. The calculation puts the raw total energy at -5.294 eV per atom. The value obtained for the spin magnetization is 0.000 μB per cell. The symmetry is P4/mmm.

Lattice parameters (Å, degrees): 3.9078 3.9078 5.9469 90.00 90.00 90.00
With the nearest neighbours (Å) after each atom.
Fractional positions:
1 Tl 0.0000 0.0000 0.0000  4 Br 2.76, 2 Ru 2.97
2 Ru 0.0000 0.0000 0.5000  4 N 1.95
3 Br 0.5000 0.5000 0.0000  4 Tl 2.76
4 N 0.0000 0.5000 0.5000  2 Ru 1.95
5 N 0.5000 0.0000 0.5000  2 Ru 1.95

***

No. 8
The following is a DFT calculation (GGA-PBE) of a relaxed ScSBrN2 crystal.

Summary:
The density is 3.12 g cm⁻³. Its energy relative to the elements, uncorrected is 398 kJ/mol of formula units. The calculation puts the raw total energy at -4.932 eV per atom. The value obtained for the spin magnetization is 4.006 μB per cell. The symmetry is P4/mmm. The energy above the most stable polymorph in this dataset comes out at 0.00 kcal/mol of atoms.

Lattice parameters (Å, degrees): 4.2856 4.2856 5.3621 90.00 90.00 90.00
With the nearest neighbours (Å) after each atom.
Fractional positions:
1 Sc 0.0000 0.0000 0.0000  4 N 2.14
2 S 0.0000 0.0000 0.5000  2 Sc 2.68
3 Br 0.5000 0.5000 0.5000  4 S 3.03
4 N 0.0000 0.5000 0.0000  2 Sc 2.14
5 N 0.5000 0.0000 0.0000  2 Sc 2.14

***

No. 9
The following is a DFT calculation (GGA-PBE) of a relaxed ScSBrN2 crystal.

Summary:
The density is 4.15 g cm⁻³. Its energy relative to the elements, uncorrected is 611 kJ/mol of formula units. The calculation puts the raw total energy at -4.491 eV per atom. The value obtained for the spin magnetization is 0.246 μB per cell. The symmetry is P4/mmm. The energy above the most stable polymorph in this dataset comes out at 10.18 kcal/mol of atoms.

Lattice parameters (Å, degrees): 3.9245 3.9245 4.8015 90.00 90.00 90.00
With the nearest neighbours (Å) after each atom.
Fractional positions:
1 Sc 0.0000 0.0000 0.0000  4 S 2.78, 8 N 3.10
2 S 0.5000 0.5000 0.0000  2 Br 2.40
3 Br 0.5000 0.5000 0.5000  4 N 1.96
4 N 0.0000 0.5000 0.5000  2 Br 1.96
5 N 0.5000 0.0000 0.5000  2 Br 1.96

***

No. 10
The following is a DFT calculation (GGA-PBE) of a relaxed SeS2BrN crystal.

Summary:
The density is 4.11 g cm⁻³. Its energy relative to the elements, uncorrected is 649 kJ/mol of formula units. The calculation puts the raw total energy at -3.003 eV per atom. The value obtained for the spin magnetization is 1.167 μB per cell. The symmetry is P4/mmm. The energy above the most stable polymorph in this dataset comes out at 0.00 kcal/mol of atoms.

Lattice parameters (Å, degrees): 5.0602 5.0602 3.7391 90.00 90.00 90.00
With the nearest neighbours (Å) after each atom.
Fractional positions:
1 Se 0.0000 0.0000 0.0000  2 N 1.87
2 S 0.0000 0.5000 0.0000  2 Se 2.53
3 S 0.5000 0.0000 0.0000  2 Se 2.53
4 Br 0.5000 0.5000 0.5000  8 S 3.15
5 N 0.0000 0.0000 0.5000  2 Se 1.87

***

No. 11
The following is a DFT calculation (GGA-PBE) of a relaxed SeSBrN2 crystal.

Summary:
The density is 3.66 g cm⁻³. Its energy relative to the elements, uncorrected is 785 kJ/mol of formula units. The calculation puts the raw total energy at -3.559 eV per atom. The value obtained for the spin magnetization is 0.645 μB per cell. The symmetry is P4/mmm. The energy above the most stable polymorph in this dataset comes out at 1.12 kcal/mol of atoms.

Lattice parameters (Å, degrees): 3.7382 3.7382 7.1112 90.00 90.00 90.00
With the nearest neighbours (Å) after each atom.
Fractional positions:
1 Se 0.0000 0.0000 0.0000  4 N 1.87
2 S 0.0000 0.0000 0.5000  4 Br 2.64
3 Br 0.5000 0.5000 0.5000  4 S 2.64
4 N 0.0000 0.5000 0.0000  2 Se 1.87
5 N 0.5000 0.0000 0.0000  2 Se 1.87

***

No. 12
The following is a DFT calculation (GGA-PBE) of a relaxed SeSBrN2 crystal.

Summary:
The density is 3.60 g cm⁻³. Its energy relative to the elements, uncorrected is 762 kJ/mol of formula units. The calculation puts the raw total energy at -3.608 eV per atom. The value obtained for the spin magnetization is 0.487 μB per cell. The symmetry is P4/mmm. The energy above the most stable polymorph in this dataset comes out at 0.00 kcal/mol of atoms.

Lattice parameters (Å, degrees): 3.6224 3.6224 7.6972 90.00 90.00 90.00
With the nearest neighbours (Å) after each atom.
Fractional positions:
1 Se 0.0000 0.0000 0.0000  4 Br 2.56
2 S 0.0000 0.0000 0.5000  4 N 1.81
3 Br 0.5000 0.5000 0.0000  4 Se 2.56
4 N 0.0000 0.5000 0.5000  2 S 1.81
5 N 0.5000 0.0000 0.5000  2 S 1.81

***

No. 13
The following is a DFT calculation (GGA-PBE) of a relaxed SeSBrN2 crystal.

Summary:
The density is 3.37 g cm⁻³. Its energy relative to the elements, uncorrected is 1013 kJ/mol of formula units. The calculation puts the raw total energy at -3.088 eV per atom. The value obtained for the spin magnetization is 0.710 μB per cell. The symmetry is P4/mmm. The energy above the most stable polymorph in this dataset comes out at 11.99 kcal/mol of atoms.

Lattice parameters (Å, degrees): 3.7610 3.7610 7.6353 90.00 90.00 90.00
With the nearest neighbours (Å) after each atom.
Fractional positions:
1 Se 0.0000 0.0000 0.0000  4 S 2.66
2 S 0.5000 0.5000 0.0000  4 Se 2.66
3 Br 0.5000 0.5000 0.5000  4 N 1.88
4 N 0.0000 0.5000 0.5000  2 Br 1.88
5 N 0.5000 0.0000 0.5000  2 Br 1.88

***

No. 14
The following is a DFT calculation (GGA-PBE) of a relaxed SeS2BrN crystal.

Summary:
The density is 4.11 g cm⁻³. Its energy relative to the elements, uncorrected is 854 kJ/mol of formula units. The calculation puts the raw total energy at -2.577 eV per atom. The value obtained for the spin magnetization is 0.000 μB per cell. The symmetry is P4/mmm. The energy above the most stable polymorph in this dataset comes out at 9.83 kcal/mol of atoms.

Lattice parameters (Å, degrees): 5.0809 5.0809 3.7111 90.00 90.00 90.00
With the nearest neighbours (Å) after each atom.
Fractional positions:
1 Se 0.0000 0.0000 0.0000  8 S 3.15
2 S 0.0000 0.5000 0.5000  2 Br 2.54
3 S 0.5000 0.0000 0.5000  2 Br 2.54
4 Br 0.5000 0.5000 0.5000  2 N 1.86
5 N 0.5000 0.5000 0.0000  2 Br 1.86